Record 1
This record from the Alexandria database describes a geometry-optimized Cu2TcRh structure. The functional is GGA-PBE.

Summary:
Total energy ... -0.2315 Ha/atom
Offset from the most stable computed form ... 0.134 eV/atom
Symmetry ... No. 10
D(E_F) ... 5.03 states/eV per cell

Geometry as POSCAR:
```
Cu2TcRh
1.0
4.609 0.000 0.000
0.000 2.657 0.000
-1.563 0.000 4.376
Cu Tc Rh
2 1 1
direct
0.000 0.000 0.000 Cu
0.500 0.500 0.000 Cu
0.000 0.500 0.500 Tc
0.500 0.000 0.500 Rh
```

Record 2
This record from the Alexandria database describes a geometry-optimized CuTc2Rh structure. The functional is GGA-PBE.

Summary:
Total energy ... -0.2912 Ha/atom
Offset from the most stable computed form ... 0.064 eV/atom
Symmetry ... No. 123
D(E_F) ... 3.08 states/eV per cell

Geometry as POSCAR:
```
CuTc2Rh
1.0
2.654 0.000 0.000
0.000 2.654 0.000
0.000 0.000 7.868
Cu Tc Rh
1 2 1
direct
0.000 0.000 0.000 Cu
0.500 0.500 0.247 Tc
0.500 0.500 0.753 Tc
0.000 0.000 0.500 Rh
```

Record 3
This record from the Alexandria database describes a geometry-optimized Cu2TcRh structure. The functional is GGA-PBE.

Summary:
Total energy ... -0.2308 Ha/atom
Offset from the most stable computed form ... 0.153 eV/atom
Symmetry ... No. 166
D(E_F) ... 6.42 states/eV per cell

Geometry as POSCAR:
```
Cu2TcRh
1.0
1.338 0.773 8.658
-1.338 0.773 8.658
0.000 -1.545 8.658
Cu Tc Rh
2 1 1
direct
0.250 0.250 0.250 Cu
0.750 0.750 0.750 Cu
0.000 0.000 0.000 Tc
0.500 0.500 0.500 Rh
```

Record 4
This record from the Alexandria database describes a geometry-optimized Cu2TcRh structure. The functional is GGA-PBE.

Summary:
Total energy ... -0.2324 Ha/atom
Offset from the most stable computed form ... 0.110 eV/atom
Symmetry ... No. 119
D(E_F) ... 4.13 states/eV per cell

Geometry as POSCAR:
```
Cu2TcRh
1.0
-1.882 1.882 3.741
1.882 -1.882 3.741
1.882 1.882 -3.741
Cu Tc Rh
2 1 1
direct
0.000 0.000 0.000 Cu
0.750 0.250 0.500 Cu
0.500 0.500 0.000 Tc
0.250 0.750 0.500 Rh
```

Record 5
This record from the Alexandria database describes a geometry-optimized Cu2TcRh structure. The functional is GGA-PBE.

Summary:
Total energy ... -0.2318 Ha/atom
Offset from the most stable computed form ... 0.126 eV/atom
Symmetry ... No. 12
D(E_F) ... 4.43 states/eV per cell

Geometry as POSCAR:
```
Cu2TcRh
1.0
4.410 -1.334 0.000
4.410 1.334 0.000
-0.785 0.000 4.547
Cu Tc Rh
2 1 1
direct
0.250 0.250 0.250 Cu
0.750 0.750 0.750 Cu
0.000 0.000 0.500 Tc
0.500 0.500 0.000 Rh
```

Record 6
This record from the Alexandria database describes a geometry-optimized CuTc2Rh structure. The functional is GGA-PBE.

Summary:
Total energy ... -0.2912 Ha/atom
Offset from the most stable computed form ... 0.063 eV/atom
Symmetry ... No. 22
D(E_F) ... 4.10 states/eV per cell

Geometry as POSCAR:
```
CuTc2Rh
1.0
0.000 2.712 3.789
2.706 0.000 3.789
2.706 2.712 0.000
Cu Tc Rh
1 2 1
direct
0.000 0.000 0.000 Cu
0.500 0.500 0.500 Tc
0.750 0.750 0.750 Tc
0.250 0.250 0.250 Rh
```